Mn3Cl7F (PBE with a Hubbard U, optimized geometry); total energy = -4.58 eV/atom
1.0
6.1688 -3.5831 0.0000
6.1688 3.5831 0.0000
-5.5729 0.0000 6.3219
Mn Cl F
3 7 1
Cartesian
0.0000 0.0000 0.0000
3.7571 1.7604 6.2666
3.7571 -1.7604 6.2666
-0.5608 1.7966 4.8865
-3.5462 0.0000 4.7762
4.1041 0.0000 1.2217
7.4733 1.8006 1.3336
-0.5608 -1.7966 4.8865
2.7723 0.0000 4.9659
7.4733 -1.8006 1.3336
10.3462 0.0000 0.8730